No. 1
# PrSm8C4 (PBE, relaxed)
data_PrSm8C4
_cell_length_a 9.465
_cell_length_b 9.465
_cell_length_c 12.765
_cell_angle_alpha 131.03
_cell_angle_beta 131.03
_cell_angle_gamma 22.40
_space_group_name_H-M_alt 'P 1'
_space_group_IT_number 1
loop_
_space_group_symop_operation_xyz
'x,y,z'
loop_
_atom_site_label
_atom_site_type_symbol
_atom_site_fract_x
_atom_site_fract_y
_atom_site_fract_z
Pr1 Pr 0.000 0.000 0.000
Sm1 Sm 0.041 0.041 0.733
Sm2 Sm 0.293 0.293 0.935
Sm3 Sm 0.335 0.335 0.652
Sm4 Sm 0.361 0.361 0.403
Sm5 Sm 0.638 0.638 0.597
Sm6 Sm 0.664 0.664 0.348
Sm7 Sm 0.706 0.706 0.065
Sm8 Sm 0.958 0.958 0.267
C1 C 0.150 0.150 0.470
C2 C 0.332 0.332 0.172
C3 C 0.667 0.667 0.828
C4 C 0.849 0.849 0.530
# Formation enthalpy at 0 K in meV per atom: -62

No. 2
# RbTe2I8 (PBE, relaxed)
data_RbTe2I8
_cell_length_a 8.314
_cell_length_b 8.314
_cell_length_c 10.052
_cell_angle_alpha 113.21
_cell_angle_beta 113.21
_cell_angle_gamma 67.63
_space_group_name_H-M_alt 'P 1'
_space_group_IT_number 1
loop_
_space_group_symop_operation_xyz
'x,y,z'
loop_
_atom_site_label
_atom_site_type_symbol
_atom_site_fract_x
_atom_site_fract_y
_atom_site_fract_z
Rb1 Rb 0.000 0.000 0.000
Te1 Te 0.138 0.138 0.633
Te2 Te 0.862 0.862 0.367
I1 I 0.155 0.659 0.237
I2 I 0.217 0.217 0.409
I3 I 0.341 0.845 0.763
I4 I 0.382 0.382 0.875
I5 I 0.618 0.618 0.125
I6 I 0.659 0.155 0.237
I7 I 0.783 0.783 0.591
I8 I 0.845 0.341 0.763
# Distance to the lowest polymorph of the same formula in meV/atom: 0.0
# Energy relative to the elements, uncorrected in eV per atom: -0.278

No. 3
First-principles (PBE) data for crystalline Tl2BiHCl6 at its relaxed geometry, as listed in Alexandria via LeMat-Bulk.

```
data_Tl2BiHCl6
_cell_length_a 6.351
_cell_length_b 5.919
_cell_length_c 15.385
_cell_angle_alpha 90.00
_cell_angle_beta 95.85
_cell_angle_gamma 90.00
_space_group_name_H-M_alt 'P 1'
_space_group_IT_number 1
loop_
_space_group_symop_operation_xyz
'x,y,z'
loop_
_atom_site_label
_atom_site_type_symbol
_atom_site_fract_x
_atom_site_fract_y
_atom_site_fract_z
Tl1 Tl 0.246 0.213 0.281
Tl2 Tl 0.246 0.287 0.781
Tl3 Tl 0.754 0.713 0.219
Tl4 Tl 0.754 0.787 0.719
Bi1 Bi 0.000 0.000 0.000
Bi2 Bi 0.000 0.500 0.500
H1 H 0.500 0.000 0.500
H2 H 0.500 0.500 0.000
Cl1 Cl 0.152 0.724 0.365
Cl2 Cl 0.152 0.776 0.865
Cl3 Cl 0.194 0.739 0.636
Cl4 Cl 0.194 0.761 0.136
Cl5 Cl 0.368 0.224 0.497
Cl6 Cl 0.368 0.276 0.997
Cl7 Cl 0.632 0.724 0.003
Cl8 Cl 0.632 0.776 0.503
Cl9 Cl 0.806 0.239 0.864
Cl10 Cl 0.806 0.261 0.364
Cl11 Cl 0.848 0.224 0.135
Cl12 Cl 0.848 0.276 0.635
```

No. 4
# Ac6Ni2PdI3 (PBE, relaxed)
data_Ac6Ni2PdI3
_cell_length_a 7.638
_cell_length_b 7.638
_cell_length_c 8.997
_cell_angle_alpha 98.14
_cell_angle_beta 98.14
_cell_angle_gamma 120.00
_space_group_name_H-M_alt 'P 1'
_space_group_IT_number 1
loop_
_space_group_symop_operation_xyz
'x,y,z'
loop_
_atom_site_label
_atom_site_type_symbol
_atom_site_fract_x
_atom_site_fract_y
_atom_site_fract_z
Ac1 Ac 0.096 0.439 0.817
Ac2 Ac 0.218 0.218 0.183
Ac3 Ac 0.439 0.096 0.817
Ac4 Ac 0.561 0.904 0.183
Ac5 Ac 0.782 0.782 0.817
Ac6 Ac 0.904 0.561 0.183
Ni1 Ni 0.167 0.833 0.000
Ni2 Ni 0.833 0.167 0.000
Pd1 Pd 0.500 0.500 0.000
I1 I 0.000 0.000 0.500
I2 I 0.334 0.666 0.500
I3 I 0.666 0.334 0.500
# Energy relative to the elements, uncorrected in eV per atom: -0.804

No. 5
# LaAl2Cd (PBE, relaxed)
data_LaAl2Cd
_cell_length_a 3.489
_cell_length_b 3.489
_cell_length_c 7.584
_cell_angle_alpha 90.00
_cell_angle_beta 90.00
_cell_angle_gamma 90.00
_space_group_name_H-M_alt 'P 1'
_space_group_IT_number 1
loop_
_space_group_symop_operation_xyz
'x,y,z'
loop_
_atom_site_label
_atom_site_type_symbol
_atom_site_fract_x
_atom_site_fract_y
_atom_site_fract_z
La1 La 0.000 0.000 0.000
Al1 Al 0.000 0.000 0.463
Al2 Al 0.500 0.500 0.283
Cd1 Cd 0.500 0.500 0.683
# Formation enthalpy at 0 K in meV per atom: -172

No. 6
# K3Zr3PdSe8 (PBE, relaxed)
data_K3Zr3PdSe8
_cell_length_a 7.996
_cell_length_b 7.996
_cell_length_c 9.188
_cell_angle_alpha 118.09
_cell_angle_beta 118.09
_cell_angle_gamma 56.34
_space_group_name_H-M_alt 'P 1'
_space_group_IT_number 1
loop_
_space_group_symop_operation_xyz
'x,y,z'
loop_
_atom_site_label
_atom_site_type_symbol
_atom_site_fract_x
_atom_site_fract_y
_atom_site_fract_z
K1 K 0.000 0.000 0.000
K2 K 0.000 0.500 0.000
K3 K 0.500 0.000 0.000
Zr1 Zr 0.000 0.500 0.500
Zr2 Zr 0.500 0.000 0.500
Zr3 Zr 0.500 0.500 0.500
Pd1 Pd 0.000 0.000 0.500
Se1 Se 0.216 0.749 0.683
Se2 Se 0.251 0.784 0.317
Se3 Se 0.267 0.267 0.298
Se4 Se 0.282 0.282 0.729
Se5 Se 0.718 0.718 0.271
Se6 Se 0.733 0.733 0.702
Se7 Se 0.749 0.216 0.683
Se8 Se 0.784 0.251 0.317
# Energy relative to the elements, uncorrected in eV per atom: -1.185

No. 7
# AlSiAs2 (PBE, relaxed)
data_AlSiAs2
_cell_length_a 4.635
_cell_length_b 4.635
_cell_length_c 4.635
_cell_angle_alpha 60.00
_cell_angle_beta 60.00
_cell_angle_gamma 60.00
_space_group_name_H-M_alt 'P 1'
_space_group_IT_number 1
loop_
_space_group_symop_operation_xyz
'x,y,z'
loop_
_atom_site_label
_atom_site_type_symbol
_atom_site_fract_x
_atom_site_fract_y
_atom_site_fract_z
Al1 Al 0.000 0.000 0.000
Si1 Si 0.500 0.500 0.500
As1 As 0.250 0.250 0.250
As2 As 0.750 0.750 0.750
# Distance to the lowest polymorph of the same formula in meV/atom: 385.0
# Energy relative to the elements, uncorrected in eV per atom: 0.337

No. 8
# Ba3Pa2N4O2 (PBE, relaxed)
data_Ba3Pa2N4O2
_cell_length_a 11.497
_cell_length_b 11.497
_cell_length_c 11.497
_cell_angle_alpha 157.53
_cell_angle_beta 157.53
_cell_angle_gamma 31.98
_space_group_name_H-M_alt 'P 1'
_space_group_IT_number 1
loop_
_space_group_symop_operation_xyz
'x,y,z'
loop_
_atom_site_label
_atom_site_type_symbol
_atom_site_fract_x
_atom_site_fract_y
_atom_site_fract_z
Ba1 Ba 0.000 0.000 0.000
Ba2 Ba 0.183 0.183 0.000
Ba3 Ba 0.817 0.817 0.000
Pa1 Pa 0.400 0.400 0.000
Pa2 Pa 0.600 0.600 0.000
N1 N 0.089 0.589 0.500
N2 N 0.411 0.911 0.500
N3 N 0.589 0.089 0.500
N4 N 0.911 0.411 0.500
O1 O 0.303 0.303 0.000
O2 O 0.697 0.697 0.000
# Energy relative to the elements, uncorrected in eV per atom: -1.751

The records above yield raw total energy values of -0.4536, -0.1517, -0.2312, -0.3412, -0.2575, -0.3909, -0.3145, -0.5829 Ry/atom, respectively.